Here is a relaxed BaHg3Ge crystal from Alexandria. Energies are from PBE-GGA.

The structure in extended XYZ format:
```
5
Lattice="4.7507 0.0000 0.0000 0.0000 4.7507 0.0000 0.0000 0.0000 6.2991" Properties=species:S:1:pos:R:3 pbc="T T T"
Ba 0.0000 0.0000 0.0000
Hg 0.0000 2.3753 2.9774
Hg 2.3753 0.0000 2.9774
Hg 2.3753 2.3753 4.8767
Ge 2.3753 2.3753 1.2962
```

Values from the calculation:
Volume ... 142.17 Å³/cell
Final energy ... -8.9 eV per cell
Offset from the most stable computed form ... 0.000 eV/atom
Energy relative to the elements ... -27.22 kJ/mol of atoms